Entry 1:
Compound: InOs2Pt
Source: Alexandria via LeMat-Bulk
Functional: PBE
Structure: relaxed

Summary:
Space-group type ... No. 160
Energy of formation from the pure elements ... 243.9 meV per atom
Total magnetic moment ... 0.000 μB/f.u.

a b c (Å): 9.2815 9.2815 9.2815
angles (deg): 17.68 17.68 17.68
Fractional coordinates of all 4 atoms:
In  0.2507  0.2507  0.2507
Pt  0.4974  0.4974  0.4974
Os  0.0054  0.0054  0.0054
Os  0.7464  0.7464  0.7464

***

Entry 2:
Compound: CeScCd2
Source: Alexandria via LeMat-Bulk
Functional: PBE
Structure: relaxed

Summary:
Space-group type ... No. 166
Energy of formation from the pure elements ... -96.1 meV per atom
Total magnetic moment ... 0.161 μB/f.u.

a b c (Å): 3.2277 3.2277 10.8673
angles (deg): 81.46 81.46 60.00
Each line ends with the local moment (μB).
Fractional coordinates of all 4 atoms:
Cd  0.2556  0.2556  0.2333  0.00
Cd  0.7444  0.7444  0.7667  0.00
Sc  0.0000  0.0000  0.0000  0.00
Ce  0.5000  0.5000  0.5000  0.13

***

Entry 3:
Compound: Nd2ErPuAs4
Source: Alexandria via LeMat-Bulk
Functional: PBE
Structure: relaxed

Summary:
Space-group type ... No. 10
Energy of formation from the pure elements ... -1375.7 meV per atom
Total magnetic moment ... 4.933 μB/f.u.

a b c (Å): 4.1984 7.2438 7.2507
angles (deg): 109.46 90.00 90.00
Each line ends with the local moment (μB).
Fractional coordinates of all 8 atoms:
As  0.0000  0.7459  0.2381  -0.04
As  0.5000  0.2460  0.2380  -0.07
As  0.0000  0.2541  0.7619  -0.04
As  0.5000  0.7540  0.7620  -0.07
Pu  0.0000  0.0000  0.0000  5.00
Nd  0.0000  0.5000  0.5000  0.01
Nd  0.5000  0.0000  0.5000  0.02
Er  0.5000  0.5000  0.0000  0.00

***

Entry 4:
Compound: Pm2Sb3AsPd4
Source: Alexandria via LeMat-Bulk
Functional: PBE
Structure: relaxed

Summary:
ΔE_f (raw) ... -808 meV/atom
Space-group type ... No. 115
Total magnetic moment ... 0.000 μB/f.u.

a b c (Å): 4.6052 4.6052 10.3685
angles (deg): 90.00 90.00 90.00
Fractional coordinates of all 10 atoms:
Sb  0.0000  0.0000  0.5000
Sb  0.0000  0.5000  0.1317
Sb  0.5000  0.0000  0.8683
Pm  0.0000  0.5000  0.7480
Pm  0.5000  0.0000  0.2520
Pd  0.0000  0.0000  0.0000
Pd  0.5000  0.5000  0.0000
Pd  0.0000  0.5000  0.3809
Pd  0.5000  0.0000  0.6191
As  0.5000  0.5000  0.5000

***

Entry 5:
Compound: U3Tl3TeS8
Source: Alexandria via LeMat-Bulk
Functional: PBE
Structure: relaxed

Summary:
ΔE_f (raw) ... -803 meV/atom
Space-group type ... No. 12
Total magnetic moment ... 6.191 μB/f.u.

a b c (Å): 8.3859 7.9554 8.6264
angles (deg): 115.33 90.00 121.81
Each line ends with the local moment (μB).
Fractional coordinates of all 15 atoms:
Tl  0.0000  0.0000  0.0000  0.01
Tl  0.5000  0.5000  0.0000  0.01
Tl  0.0000  0.5000  0.0000  0.01
S  0.3245  0.0547  0.2842  -0.09
S  0.2653  0.5306  0.3020  -0.06
S  0.2699  0.9453  0.7158  -0.09
S  0.7693  0.5387  0.3098  -0.04
S  0.7301  0.0547  0.2842  -0.09
S  0.6755  0.9453  0.7158  -0.09
S  0.7347  0.4694  0.6980  -0.06
S  0.2307  0.4613  0.6902  -0.04
U  0.0000  0.5000  0.5000  2.16
U  0.5000  0.5000  0.5000  2.16
U  0.5000  0.0000  0.5000  2.06
Te  0.0000  0.0000  0.5000  -0.12

***

Entry 6:
Compound: Cs3Sm2TmS6
Source: Alexandria via LeMat-Bulk
Functional: PBE
Structure: relaxed

Summary:
ΔE_f (raw) ... -1820 meV/atom
Space-group type ... No. 12
Total magnetic moment ... 0.000 μB/f.u.

a b c (Å): 7.1874 7.1874 8.4251
angles (deg): 98.17 98.17 120.00
Fractional coordinates of all 12 atoms:
S  0.9391  0.6143  0.8173
S  0.2637  0.2637  0.8167
S  0.0609  0.3857  0.1827
S  0.7363  0.7363  0.1833
S  0.6143  0.9391  0.8173
S  0.3857  0.0609  0.1827
Cs  0.8320  0.1680  0.5000
Cs  0.1680  0.8320  0.5000
Cs  0.5000  0.5000  0.5000
Tm  0.0000  0.0000  0.0000
Sm  0.6666  0.3334  0.0000
Sm  0.3334  0.6666  0.0000

***

Entry 7:
Compound: Cd2CoTe
Source: Alexandria via LeMat-Bulk
Functional: PBE
Structure: relaxed

Summary:
ΔE_f (raw) ... 72 meV/atom
Space-group type ... No. 44
Total magnetic moment ... 0.000 μB/f.u.

a b c (Å): 6.8449 6.8449 6.8449
angles (deg): 154.18 141.10 47.28
Fractional coordinates of all 4 atoms:
Cd  0.0108  0.0108  0.0000
Cd  0.6710  0.1710  0.5000
Co  0.4893  0.4893  0.0000
Te  0.3288  0.8288  0.5000

***

Entry 8:
Compound: RbCuTe2I
Source: Alexandria via LeMat-Bulk
Functional: PBE
Structure: relaxed

Summary:
ΔE_f (raw) ... -264 meV/atom
Space-group type ... No. 123
Total magnetic moment ... 0.517 μB/f.u.

a b c (Å): 5.0974 5.0974 7.1955
angles (deg): 90.00 90.00 90.00
Each line ends with the local moment (μB).
Fractional coordinates of all 5 atoms:
Cu  0.0000  0.0000  0.0000  0.03
I  0.0000  0.0000  0.5000  0.07
Te  0.0000  0.5000  0.0000  0.11
Te  0.5000  0.0000  0.0000  0.11
Rb  0.5000  0.5000  0.5000  0.00

***

Entry 9:
Compound: AcTiAl
Source: Alexandria via LeMat-Bulk
Functional: PBE
Structure: relaxed

Summary:
Space-group type ... No. 187
Energy of formation from the pure elements ... 375.3 meV per atom
Total magnetic moment ... 0.000 μB/f.u.

a b c (Å): 3.4216 3.4208 15.1308
angles (deg): 90.00 90.00 120.01
Fractional coordinates of all 6 atoms:
Ac  0.6111  0.2222  0.6860
Ac  0.6111  0.2222  0.3140
Al  0.2774  0.5547  0.5000
Al  0.6113  0.2227  0.0000
Ti  0.2778  0.5557  0.8660
Ti  0.2778  0.5557  0.1340

***

Entry 10:
Compound: Cr2CuC
Source: Alexandria via LeMat-Bulk
Functional: PBE
Structure: relaxed

Summary:
Space-group type ... No. 122
Energy of formation from the pure elements ... 505.7 meV per atom
Total magnetic moment ... 0.000 μB/f.u.

a b c (Å): 6.2834 6.2834 4.9408
angles (deg): 50.52 50.52 90.00
Fractional coordinates of all 8 atoms:
Cu  0.7500  0.2500  0.5000
Cu  0.0000  0.0000  0.0000
Cr  0.3750  0.4568  0.7500
Cr  0.2068  0.6250  0.2500
Cr  0.8750  0.7932  0.7500
Cr  0.5432  0.1250  0.2500
C  0.5000  0.5000  0.0000
C  0.2500  0.7500  0.5000

***

Entry 11:
Compound: CaCu2Ag2
Source: Alexandria via LeMat-Bulk
Functional: PBE
Structure: relaxed

Summary:
Space-group type ... No. 139
Energy of formation from the pure elements ... -65.9 meV per atom
Total magnetic moment ... 0.000 μB/f.u.

a b c (Å): 4.1471 4.1471 6.3618
angles (deg): 70.98 70.98 90.00
Fractional coordinates of all 5 atoms:
Ag  0.7500  0.2500  0.5000
Ag  0.2500  0.7500  0.5000
Ca  0.0000  0.0000  0.0000
Cu  0.3963  0.3963  0.2073
Cu  0.6037  0.6037  0.7927

***

Entry 12:
Compound: Be2V2Os
Source: Alexandria via LeMat-Bulk
Functional: PBE
Structure: relaxed

Summary:
Space-group type ... No. 127
Energy of formation from the pure elements ... -338.0 meV per atom
Total magnetic moment ... 0.000 μB/f.u.

a b c (Å): 6.0499 6.0499 3.0446
angles (deg): 90.00 90.00 90.00
Fractional coordinates of all 10 atoms:
Be  0.6222  0.1222  0.0000
Be  0.3778  0.8778  0.0000
Be  0.1222  0.3778  0.0000
Be  0.8778  0.6222  0.0000
V  0.6738  0.8262  0.5000
V  0.3262  0.1738  0.5000
V  0.8262  0.3262  0.5000
V  0.1738  0.6738  0.5000
Os  0.0000  0.0000  0.0000
Os  0.5000  0.5000  0.0000

***

| no. | theoretical density (g/cm³) | energy (eV per cell) |
| --- | --- | --- |
| 1 | 17.817 | -30.26 |
| 2 | 7.046 | -14.48 |
| 3 | 7.982 | -58.03 |
| 4 | 8.729 | -55.37 |
| 5 | 6.725 | -89.17 |
| 6 | 4.875 | -63.07 |
| 7 | 7.814 | -11.79 |
| 8 | 4.717 | -14.22 |
| 9 | 6.537 | -29.24 |
| 10 | 6.988 | -61.09 |
| 11 | 6.548 | -16.23 |
| 12 | 9.243 | -77.22 |